Entry 1:
A geometry-optimized Nb2PbCCl structure, computed with PBE.

a = 4.8283 Å, b = 3.7060 Å, c = 4.8283 Å
α = 90.00°, β = 90.00°, γ = 90.00°
Closest atoms and distances in Å follow each position.
Positions (direct):
Cl1 0.0000 0.0000 0.0000  2 C 1.85
Nb1 0.5000 0.0000 0.0000  2 Cl 2.41
Nb2 0.0000 0.0000 0.5000  2 Cl 2.41
Pb1 0.5000 0.5000 0.5000  8 Nb 3.04
C1 0.0000 0.5000 0.0000  2 Cl 1.85

Output
size of the total moment	0.0	μB per formula unit
SG	No. 123
formation energy without anion corrections	7.68	eV per formula unit

Entry 2:
A geometry-optimized TaSe5 structure, computed with PBE.

a = 5.5553 Å, b = 5.5553 Å, c = 5.5553 Å
α = 60.00°, β = 60.00°, γ = 60.00°
Closest atoms and distances in Å follow each position.
Positions (direct):
Se1 0.2500 0.2500 0.2500  12 Se 3.26, 4 Ta 3.40
Se2 0.6261 0.1217 0.6261  6 Se 2.75-2.80
Se3 0.1217 0.6261 0.6261  6 Se 2.75-2.80
Ta1 0.0000 0.0000 0.0000  16 Se 3.25-3.40
Se4 0.6261 0.6261 0.6261  6 Se 2.75-2.80
Se5 0.6261 0.6261 0.1217  6 Se 2.75-2.80

Output
size of the total moment	0.9	μB per formula unit
SG	No. 216
formation energy without anion corrections	5.38	eV per formula unit

Entry 3:
A geometry-optimized LaTb4Nd2Th structure, computed with PBE.

a = 3.6289 Å, b = 6.2739 Å, c = 11.8939 Å
α = 79.76°, β = 90.00°, γ = 90.00°
Closest atoms and distances in Å follow each position.
Positions (direct):
Nd1 0.0000 0.0000 0.0000  4 La 3.62, 2 Nd 3.63, 6 Tb 3.64-3.66
Tb1 0.5000 0.7433 0.2562  2 Th 3.53, 3 Nd 3.56-3.66, 6 Tb 3.58-3.67, 1 La 3.64
Tb2 0.5000 0.2567 0.7438  2 Th 3.53, 3 Nd 3.56-3.66, 6 Tb 3.58-3.67, 1 La 3.64
Tb3 0.0000 0.2537 0.2526  1 Th 3.56, 6 Tb 3.58-3.67, 3 Nd 3.58-3.64, 2 La 3.61
La1 0.5000 0.5000 0.0000  6 Tb 3.61-3.64, 4 Nd 3.62, 2 La 3.63
Nd2 0.5000 0.0000 0.5000  6 Tb 3.56-3.58, 4 Th 3.62, 2 Nd 3.63
Th1 0.0000 0.5000 0.5000  6 Tb 3.53-3.56, 4 Nd 3.62, 2 Th 3.63
Tb4 0.0000 0.7463 0.7474  1 Th 3.56, 6 Tb 3.58-3.67, 3 Nd 3.58-3.64, 2 La 3.61

Output
calculated formation energy	0.02	eV/atom
size of the total moment	0.0	μB per formula unit
SG	No. 10

Entry 4:
A geometry-optimized SnHgBiAs structure, computed with PBE.

a = 4.9994 Å, b = 4.9867 Å, c = 6.0010 Å
α = 90.17°, β = 90.00°, γ = 120.08°
Closest atoms and distances in Å follow each position.
Positions (direct):
Sn1 0.7092 0.4184 0.0072  3 As 2.96-2.97
Hg1 0.3742 0.7483 0.6794  3 Bi 2.92
As1 0.0430 0.0860 0.1258  2 Bi 2.87-3.13, 3 Sn 2.96-2.97
Bi1 0.0399 0.0797 0.6046  2 As 2.87-3.13, 3 Hg 2.92

Output
calculated formation energy	0.18	eV/atom
size of the total moment	0.0	μB per formula unit
SG	No. 8

Entry 5:
A geometry-optimized Ce2PdPb structure, computed with PBE.

a = 4.5756 Å, b = 4.6562 Å, c = 4.6562 Å
α = 90.00°, β = 90.00°, γ = 90.00°
Closest atoms and distances in Å follow each position.
Positions (direct):
Pb1 0.5000 0.5000 0.5000  8 Ce 3.26, 4 Pd 3.29
Pd1 0.5000 0.0000 0.0000  8 Ce 3.26, 4 Pb 3.29
Ce1 0.0000 0.0000 0.5000  4 Pb 3.26, 4 Pd 3.26, 4 Ce 3.29
Ce2 0.0000 0.5000 0.0000  4 Pb 3.26, 4 Pd 3.26, 4 Ce 3.29

Output
calculated formation energy	-0.44	eV/atom
offset from the most stable computed form	64	meV per atom
size of the total moment	2.0	μB per formula unit
SG	No. 123

Entry 6:
A geometry-optimized LiZn6Pd12 structure, computed with PBE.

a = 6.5825 Å, b = 6.5825 Å, c = 6.5825 Å
α = 89.99°, β = 89.99°, γ = 89.99°
Closest atoms and distances in Å follow each position.
Positions (direct):
Zn1 0.8841 0.2682 0.7153  8 Pd 2.59-2.83, 1 Li 2.68, 2 Zn 2.82
Pd1 0.5404 0.4378 0.8012  4 Zn 2.59-2.74, 4 Pd 2.75-2.79
Zn2 0.1159 0.7318 0.2847  8 Pd 2.59-2.83, 1 Li 2.68, 2 Zn 2.82
Li1 0.0000 0.0000 0.0000  6 Pd 2.53, 6 Zn 2.68
Zn3 0.2682 0.7153 0.8841  8 Pd 2.59-2.83, 1 Li 2.68, 2 Zn 2.82
Pd2 0.6428 0.9857 0.8569  1 Li 2.53, 4 Zn 2.62-2.83, 4 Pd 2.67-2.79
Zn4 0.2847 0.1159 0.7318  8 Pd 2.59-2.83, 1 Li 2.68, 2 Zn 2.82
Pd3 0.4596 0.5622 0.1988  4 Zn 2.59-2.74, 4 Pd 2.75-2.79
Zn5 0.7318 0.2847 0.1159  8 Pd 2.59-2.83, 1 Li 2.68, 2 Zn 2.82
Pd4 0.4378 0.8012 0.5404  4 Zn 2.59-2.74, 4 Pd 2.75-2.79
Pd5 0.8012 0.5404 0.4378  4 Zn 2.59-2.74, 4 Pd 2.75-2.79
Zn6 0.7153 0.8841 0.2682  8 Pd 2.59-2.83, 1 Li 2.68, 2 Zn 2.82
Pd6 0.1988 0.4596 0.5622  4 Zn 2.59-2.74, 4 Pd 2.75-2.79
Pd7 0.8569 0.6428 0.9857  1 Li 2.53, 4 Zn 2.62-2.83, 4 Pd 2.67-2.79
Pd8 0.9857 0.8569 0.6428  1 Li 2.53, 4 Zn 2.62-2.83, 4 Pd 2.67-2.79
Pd9 0.0143 0.1431 0.3572  1 Li 2.53, 4 Zn 2.62-2.83, 4 Pd 2.67-2.79
Pd10 0.3572 0.0143 0.1431  1 Li 2.53, 4 Zn 2.62-2.83, 4 Pd 2.67-2.79
Pd11 0.1431 0.3572 0.0143  1 Li 2.53, 4 Zn 2.62-2.83, 4 Pd 2.67-2.79
Pd12 0.5622 0.1988 0.4596  4 Zn 2.59-2.74, 4 Pd 2.75-2.79

Output
calculated formation energy	-0.35	eV/atom
offset from the most stable computed form	41	meV per atom
size of the total moment	0.0	μB per formula unit
SG	No. 148

Entry 7:
A geometry-optimized TaTl6Cl12 structure, computed with PBE.

a = 9.0856 Å, b = 9.0856 Å, c = 9.0856 Å
α = 99.58°, β = 99.58°, γ = 99.58°
Closest atoms and distances in Å follow each position.
Positions (direct):
Cl1 0.4044 0.5962 0.8249  4 Tl 3.02-3.08
Cl2 0.0920 0.2528 0.9737  1 Ta 2.38
Cl3 0.0263 0.9080 0.7472  1 Ta 2.38
Cl4 0.5956 0.4038 0.1751  4 Tl 3.02-3.08
Tl1 0.6029 0.1538 0.3564  4 Cl 3.02-3.08
Tl2 0.6436 0.3971 0.8462  4 Cl 3.02-3.08
Cl5 0.9080 0.7472 0.0263  1 Ta 2.38
Tl3 0.8462 0.6436 0.3971  4 Cl 3.02-3.08
Cl6 0.1751 0.5956 0.4038  4 Tl 3.02-3.08
Tl4 0.3971 0.8462 0.6436  4 Cl 3.02-3.08
Tl5 0.1538 0.3564 0.6029  4 Cl 3.02-3.08
Cl7 0.7472 0.0263 0.9080  1 Ta 2.38
Cl8 0.5962 0.8249 0.4044  4 Tl 3.02-3.08
Tl6 0.3564 0.6029 0.1538  4 Cl 3.02-3.08
Cl9 0.4038 0.1751 0.5956  4 Tl 3.02-3.08
Cl10 0.8249 0.4044 0.5962  4 Tl 3.02-3.08
Ta1 0.0000 0.0000 0.0000  6 Cl 2.38
Cl11 0.9737 0.0920 0.2528  1 Ta 2.38
Cl12 0.2528 0.9737 0.0920  1 Ta 2.38

Output
size of the total moment	0.0	μB per formula unit
SG	No. 148
formation energy without anion corrections	-20.02	eV per formula unit

Entry 8:
A geometry-optimized LiTcN structure, computed with PBE.

a = 2.7682 Å, b = 2.7682 Å, c = 5.1422 Å
α = 105.61°, β = 105.61°, γ = 90.00°
Closest atoms and distances in Å follow each position.
Positions (direct):
Li1 0.0023 0.0023 0.0046  5 Tc 2.67-2.86, 5 N 2.73-2.82, 4 Li 2.77
N1 0.7151 0.7151 0.4303  4 Tc 2.06
Tc1 0.2826 0.2826 0.5651  4 N 2.06

Output
offset from the most stable computed form	297	meV per atom
size of the total moment	0.0	μB per formula unit
SG	No. 107
formation energy without anion corrections	0.02	eV per formula unit

Entry 9:
A geometry-optimized ReN structure, computed with PBE.

a = 8.5009 Å, b = 3.6549 Å, c = 5.0408 Å
α = 90.00°, β = 90.00°, γ = 90.00°
Closest atoms and distances in Å follow each position.
Positions (direct):
Re1 0.7837 0.1080 0.3457  4 N 1.96-2.08
N1 0.0000 0.9212 0.3245  3 Re 1.90-1.96
Re2 0.7163 0.8920 0.8457  4 N 1.96-2.08
Re3 0.0000 0.5557 0.5931  3 N 1.90-1.99
N2 0.7841 0.3976 0.6966  4 Re 1.99-2.08
Re4 0.2837 0.8920 0.8457  4 N 1.96-2.08
N3 0.7159 0.6024 0.1966  4 Re 1.99-2.08
N4 0.2841 0.6024 0.1966  4 Re 1.99-2.08
N5 0.5000 0.0788 0.8245  3 Re 1.90-1.96
Re5 0.2163 0.1080 0.3457  4 N 1.96-2.08
N6 0.2159 0.3976 0.6966  4 Re 1.99-2.08
Re6 0.5000 0.4443 0.0931  3 N 1.90-1.99

Output
offset from the most stable computed form	343	meV per atom
size of the total moment	0.0	μB per formula unit
SG	No. 31
formation energy without anion corrections	0.77	eV per formula unit